No. 1
# PBE-GGA K2BeSeO4, relaxed
data_K2BeSeO4
_chemical_formula_sum 'K4 Be2 Se2 O8'
_space_group_name_H-M_alt 'P 1'
_space_group_IT_number 1
_space_group_name_Hall 'P 1'
_cell_length_a 4.9349
_cell_length_b 6.3878
_cell_length_c 9.9121
_cell_angle_alpha 84.48
_cell_angle_beta 75.59
_cell_angle_gamma 67.28
loop_
_atom_site_label
_atom_site_fract_x
_atom_site_fract_y
_atom_site_fract_z
K1 0.1740 0.0000 0.6521
K2 0.8260 0.0000 0.3479
K3 0.5760 0.5000 0.8479
K4 0.9240 0.5000 0.1521
Be1 0.7500 0.5000 0.5000
Be2 0.0000 0.0000 0.0000
Se1 0.2500 0.5000 0.5000
Se2 0.5000 0.0000 0.0000
O1 0.2456 0.8345 0.0910
O2 0.1711 0.1655 0.9090
O3 0.9199 0.8345 0.9090
O4 0.6634 0.1655 0.0910
O5 0.5044 0.6655 0.4090
O6 0.5789 0.3345 0.5910
O7 0.8301 0.6655 0.5910
O8 0.0866 0.3345 0.4090
# **Formation energy from raw total energies**: -1.378 eV/atom
# **V**: 17.45 Å³ per atom
# **Total magnetic moment**: 0.0 μB/f.u.
# **VASP energy**: -5.03 eV/atom

---

No. 2
# PBE-GGA KBe2SeO6, relaxed
data_KBe2SeO6
_chemical_formula_sum 'K2 Be4 Se2 O12'
_space_group_name_H-M_alt 'P 1'
_space_group_IT_number 1
_space_group_name_Hall 'P 1'
_cell_length_a 5.3689
_cell_length_b 7.3037
_cell_length_c 7.3037
_cell_angle_alpha 100.79
_cell_angle_beta 77.08
_cell_angle_gamma 77.08
loop_
_atom_site_label
_atom_site_fract_x
_atom_site_fract_y
_atom_site_fract_z
K1 0.2500 0.8810 0.1190
K2 0.7500 0.1190 0.8810
Be1 0.3757 0.7990 0.6621
Be2 0.1243 0.3379 0.2010
Be3 0.6243 0.2010 0.3379
Be4 0.8757 0.6621 0.7990
Se1 0.2500 0.2827 0.7173
Se2 0.7500 0.7173 0.2827
O1 0.2330 0.0542 0.6574
O2 0.2670 0.3426 0.9458
O3 0.7670 0.9458 0.3426
O4 0.7330 0.6574 0.0542
O5 0.4693 0.6968 0.4230
O6 0.0307 0.5770 0.3032
O7 0.5307 0.3032 0.5770
O8 0.9693 0.4230 0.6968
O9 0.1140 0.7591 0.7774
O10 0.3860 0.2226 0.2409
O11 0.8860 0.2409 0.2226
O12 0.6140 0.7774 0.7591
# **Formation energy from raw total energies**: -1.458 eV/atom
# **DOS at the Fermi energy**: 7.3 states/eV/cell
# **V**: 13.17 Å³ per atom
# **Total magnetic moment**: 1.0 μB/f.u.
# **VASP energy**: -5.64 eV/atom

---

No. 3
# PBE-GGA K2Be2Si6O15, relaxed
data_K2Be2Si6O15
_chemical_formula_sum 'K4 Be4 Si12 O30'
_space_group_name_H-M_alt 'P 1'
_space_group_IT_number 1
_space_group_name_Hall 'P 1'
_cell_length_a 7.5834
_cell_length_b 8.7064
_cell_length_c 11.5495
_cell_angle_alpha 90.00
_cell_angle_beta 90.00
_cell_angle_gamma 115.82
loop_
_atom_site_label
_atom_site_fract_x
_atom_site_fract_y
_atom_site_fract_z
Be1 0.2290 0.7628 0.7556
Be2 0.7710 0.2372 0.2556
Be3 0.4662 0.2372 0.2556
Be4 0.5338 0.7628 0.7556
K1 0.7605 0.5211 0.6233
K2 0.2395 0.4789 0.1233
K3 0.9019 0.8038 0.8979
K4 0.0981 0.1962 0.3979
Si1 0.0009 0.4197 0.8498
Si2 0.9991 0.5803 0.3498
Si3 0.5813 0.5803 0.3498
Si4 0.4187 0.4197 0.8498
Si5 0.8488 0.1079 0.6728
Si6 0.1512 0.8921 0.1728
Si7 0.7409 0.8921 0.1728
Si8 0.2591 0.1079 0.6728
Si9 0.3517 0.7035 0.5168
Si10 0.6483 0.2965 0.0168
Si11 0.4525 0.9050 0.9804
Si12 0.5475 0.0950 0.4804
O1 0.8771 0.3958 0.9722
O2 0.1229 0.6042 0.4722
O3 0.4813 0.6042 0.4722
O4 0.5187 0.3958 0.9722
O5 0.8729 0.2609 0.7636
O6 0.1271 0.7391 0.2636
O7 0.6119 0.7391 0.2636
O8 0.3881 0.2609 0.7636
O9 0.7515 0.1488 0.5548
O10 0.2485 0.8512 0.0548
O11 0.6027 0.8512 0.0548
O12 0.3973 0.1488 0.5548
O13 0.0349 0.5975 0.7915
O14 0.9651 0.4025 0.2915
O15 0.4375 0.4025 0.2915
O16 0.5625 0.5975 0.7915
O17 0.1880 0.9212 0.7248
O18 0.8120 0.0788 0.2248
O19 0.2668 0.0788 0.2248
O20 0.7332 0.9212 0.7248
O21 0.2027 0.4055 0.8896
O22 0.7973 0.5945 0.3896
O23 0.4025 0.8050 0.8584
O24 0.5975 0.1950 0.3584
O25 0.0709 0.1419 0.6299
O26 0.9291 0.8581 0.1299
O27 0.3570 0.7140 0.6563
O28 0.6430 0.2860 0.1563
O29 0.4456 0.8913 0.4573
O30 0.5544 0.1087 0.9573
# **Formation energy from raw total energies**: -2.732 eV/atom
# **DOS at the Fermi energy**: 0.0 states/eV/cell
# **V**: 13.73 Å³ per atom
# **Total magnetic moment**: 0.0 μB/f.u.
# **VASP energy**: -7.39 eV/atom

---

No. 4
# PBE-GGA K2BeSi4O10, relaxed
data_K2BeSi4O10
_chemical_formula_sum 'K8 Be4 Si16 O40'
_space_group_name_H-M_alt 'P 1'
_space_group_IT_number 1
_space_group_name_Hall 'P 1'
_cell_length_a 9.9090
_cell_length_b 7.0396
_cell_length_c 15.2532
_cell_angle_alpha 66.69
_cell_angle_beta 90.00
_cell_angle_gamma 90.00
loop_
_atom_site_label
_atom_site_fract_x
_atom_site_fract_y
_atom_site_fract_z
K1 0.0813 0.1050 0.1370
K2 0.5813 0.8950 0.3630
K3 0.1266 0.1346 0.4088
K4 0.4187 0.1050 0.6370
K5 0.8734 0.8654 0.5912
K6 0.3734 0.1346 0.9088
K7 0.9187 0.8950 0.8630
K8 0.6266 0.8654 0.0912
Be1 0.6336 0.1488 0.8044
Be2 0.3664 0.8512 0.1956
Be3 0.1336 0.8512 0.6956
Be4 0.8664 0.1488 0.3044
Si1 0.7811 0.3500 0.6297
Si2 0.7644 0.3352 0.9319
Si3 0.2189 0.6500 0.3703
Si4 0.9535 0.5548 0.1719
Si5 0.2811 0.6500 0.8703
Si6 0.5708 0.7027 0.8338
Si7 0.4292 0.2973 0.1662
Si8 0.9292 0.7027 0.3338
Si9 0.0708 0.2973 0.6662
Si10 0.2644 0.6648 0.5681
Si11 0.7189 0.3500 0.1297
Si12 0.7356 0.3352 0.4319
Si13 0.0465 0.4452 0.8281
Si14 0.4535 0.4452 0.3281
Si15 0.2356 0.6648 0.0681
Si16 0.5465 0.5548 0.6719
O1 0.9277 0.3424 0.9085
O2 0.4261 0.2775 0.2787
O3 0.4368 0.0758 0.1621
O4 0.0632 0.0758 0.6621
O5 0.7610 0.1743 0.7341
O6 0.7090 0.5759 0.8852
O7 0.4277 0.6576 0.5915
O8 0.5723 0.3424 0.4085
O9 0.5739 0.7225 0.7213
O10 0.4376 0.5607 0.8876
O11 0.9261 0.7225 0.2213
O12 0.3178 0.8263 0.0971
O13 0.2587 0.7437 0.4506
O14 0.7413 0.2563 0.5494
O15 0.2413 0.7437 0.9506
O16 0.6822 0.1737 0.9029
O17 0.0723 0.6576 0.0915
O18 0.8146 0.5587 0.1091
O19 0.8178 0.1737 0.4029
O20 0.5154 0.3232 0.7452
O21 0.2390 0.8257 0.2659
O22 0.4846 0.6768 0.2548
O23 0.7587 0.2563 0.0494
O24 0.6854 0.5587 0.6091
O25 0.3146 0.4413 0.3909
O26 0.9368 0.9242 0.3379
O27 0.7910 0.5759 0.3852
O28 0.9376 0.4393 0.6124
O29 0.2910 0.4241 0.1148
O30 0.7390 0.1743 0.2341
O31 0.5624 0.4393 0.1124
O32 0.0739 0.2775 0.7787
O33 0.2610 0.8257 0.7659
O34 0.9846 0.3232 0.2452
O35 0.2090 0.4241 0.6148
O36 0.1822 0.8263 0.5971
O37 0.0624 0.5607 0.3876
O38 0.0154 0.6768 0.7548
O39 0.1854 0.4413 0.8909
O40 0.5632 0.9242 0.8379
# **Formation energy from raw total energies**: -2.693 eV/atom
# **DOS at the Fermi energy**: 0.0 states/eV/cell
# **V**: 14.37 Å³ per atom
# **Total magnetic moment**: 0.0 μB/f.u.
# **VASP energy**: -7.23 eV/atom

---

No. 5
# PBE-GGA K2Be2Zn2Si3O11, relaxed
data_K2Be2Zn2Si3O11
_chemical_formula_sum 'K4 Be4 Zn4 Si6 O22'
_space_group_name_H-M_alt 'P 1'
_space_group_IT_number 1
_space_group_name_Hall 'P 1'
_cell_length_a 9.6499
_cell_length_b 9.6499
_cell_length_c 9.6499
_cell_angle_alpha 138.56
_cell_angle_beta 119.35
_cell_angle_gamma 76.13
loop_
_atom_site_label
_atom_site_fract_x
_atom_site_fract_y
_atom_site_fract_z
K1 0.3881 0.1381 0.2500
K2 0.1982 0.4482 0.7500
K3 0.6119 0.8619 0.7500
K4 0.8018 0.5518 0.2500
Be1 0.0000 0.1747 0.1747
Be2 0.5000 0.8253 0.3253
Be3 0.0000 0.8253 0.8253
Be4 0.5000 0.1747 0.6747
Zn1 0.8493 0.5000 0.8493
Zn2 0.1507 0.0000 0.6507
Zn3 0.8493 0.0000 0.3493
Zn4 0.1507 0.5000 0.1507
Si1 0.7767 0.3674 0.4094
Si2 0.4580 0.3674 0.0906
Si3 0.2233 0.6326 0.5906
Si4 0.8475 0.0975 0.7500
Si5 0.1525 0.9025 0.2500
Si6 0.5420 0.6326 0.9094
O1 0.0748 0.9637 0.1110
O2 0.3527 0.9637 0.3890
O3 0.8557 0.2227 0.2341
O4 0.4229 0.6729 0.7500
O5 0.2692 0.2777 0.9915
O6 0.5771 0.3271 0.2500
O7 0.0893 0.6423 0.0530
O8 0.7861 0.2777 0.5085
O9 0.2139 0.7223 0.4915
O10 0.5114 0.7773 0.1331
O11 0.5114 0.3784 0.7341
O12 0.9252 0.0363 0.8890
O13 0.8557 0.6216 0.6331
O14 0.4886 0.6216 0.2659
O15 0.1443 0.7773 0.7659
O16 0.4886 0.2227 0.8669
O17 0.9107 0.9637 0.5530
O18 0.7308 0.7223 0.0085
O19 0.9107 0.3577 0.9470
O20 0.0893 0.0363 0.4470
O21 0.6473 0.0363 0.6110
O22 0.1443 0.3784 0.3669
# **Formation energy from raw total energies**: -2.429 eV/atom
# **DOS at the Fermi energy**: 0.0 states/eV/cell
# **V**: 12.64 Å³ per atom
# **Total magnetic moment**: 0.0 μB/f.u.
# **VASP energy**: -6.58 eV/atom

---

No. 6
# PBE-GGA KSmBeO3, relaxed
data_KSmBeO3
_chemical_formula_sum 'K2 Sm2 Be2 O6'
_space_group_name_H-M_alt 'P 1'
_space_group_IT_number 1
_space_group_name_Hall 'P 1'
_cell_length_a 3.4633
_cell_length_b 7.7383
_cell_length_c 7.4684
_cell_angle_alpha 104.87
_cell_angle_beta 90.00
_cell_angle_gamma 90.00
loop_
_atom_site_label
_atom_site_fract_x
_atom_site_fract_y
_atom_site_fract_z
K1 0.2500 0.1796 0.2094
K2 0.7500 0.8204 0.7906
Sm1 0.2500 0.6543 0.1744
Sm2 0.7500 0.3457 0.8256
Be1 0.2500 0.0618 0.6035
Be2 0.7500 0.9382 0.3965
O1 0.7500 0.8647 0.1829
O2 0.2500 0.1353 0.8171
O3 0.2500 0.8667 0.4745
O4 0.7500 0.1333 0.5255
O5 0.7500 0.4481 0.1458
O6 0.2500 0.5519 0.8542
# **Formation energy from raw total energies**: -2.591 eV/atom
# **DOS at the Fermi energy**: 0.0 states/eV/cell
# **V**: 16.12 Å³ per atom
# **Total magnetic moment**: 0.0 μB/f.u.
# **VASP energy**: -6.66 eV/atom

---

Which of these has the lowest VASP energy? K2Be2Si6O15